one | A plane-wave DFT calculation with PBE was carried out for Ce4TlFe after structural relaxation.

Structure (POSCAR):
```
Ce4TlFe
1.0
0.449 7.118 -1.067
1.553 -2.371 -6.631
-7.309 -3.437 4.410
Ce Fe Tl
8 2 2
direct
0.647 0.428 0.613
0.572 0.353 0.887
0.749 0.011 0.010
0.011 0.749 0.510
0.428 0.647 0.113
0.989 0.251 0.490
0.353 0.572 0.387
0.251 0.989 0.990
0.368 0.632 0.750
0.632 0.368 0.250
0.131 0.869 0.250
0.869 0.131 0.750
```

Computed properties:
- space-group type = C2/c (15)

two | A plane-wave DFT calculation with PBE was carried out for Ce4TlFe after structural relaxation.

Structure (POSCAR):
```
Ce4TlFe
1.0
-5.469 2.088 0.342
2.812 -2.298 6.989
3.887 6.623 -2.552
Fe Ce Tl
2 8 2
direct
0.266 0.016 0.032
0.734 0.984 0.968
0.967 0.821 0.157
0.310 0.665 0.843
0.316 0.875 0.623
0.193 0.252 0.377
0.807 0.748 0.623
0.690 0.335 0.157
0.684 0.125 0.377
0.033 0.179 0.843
0.636 0.386 0.771
0.364 0.614 0.229
```

Computed properties:
- space-group type = C2/c (15)

It is one that is the least stable of them.

one | A plane-wave DFT calculation with PBE was carried out for Ce2TmFe after structural relaxation.

Structure (POSCAR):
```
Ce2TmFe
1.0
-3.156 0.687 1.093
-0.895 -3.245 -0.545
2.301 -1.958 7.879
Ce Fe Tm
2 1 1
direct
0.000 0.000 0.194
0.000 0.000 0.806
0.500 0.500 0.000
0.500 0.500 0.500
```

Computed properties:
- space-group type = P4/mmm (123)

two | A plane-wave DFT calculation with PBE was carried out for Ce2TmFe after structural relaxation.

Structure (POSCAR):
```
Ce2TmFe
1.0
3.720 0.000 0.000
1.860 3.222 0.000
1.860 1.074 8.591
Ce Tm Fe
2 1 1
direct
0.275 0.275 0.174
0.059 0.059 0.822
0.501 0.501 0.497
0.664 0.664 0.007
```

Computed properties:
- space-group type = R3m (160)

three | A plane-wave DFT calculation with PBE was carried out for Ce2TmFe after structural relaxation.

Structure (POSCAR):
```
Ce2TmFe
1.0
3.648 0.000 0.000
1.824 3.159 0.000
1.824 1.053 8.797
Ce Fe Tm
2 1 1
direct
0.274 0.274 0.178
0.726 0.726 0.822
0.000 0.000 0.000
0.500 0.500 0.500
```

Computed properties:
- space-group type = R-3m (166)

It is one that is the least stable of them.

one | A plane-wave DFT calculation with PBE was carried out for CeYFe after structural relaxation.

Structure (POSCAR):
```
CeYFe
1.0
-1.073 -0.469 3.137
0.154 -3.315 -0.443
6.469 1.896 0.709
Ce Y Fe
1 1 1
direct
0.042 0.042 0.084
0.298 0.298 0.597
0.660 0.660 0.319
```

Computed properties:
- space-group type = I4mm (107)

two | A plane-wave DFT calculation with PBE was carried out for CeYFe after structural relaxation.

Structure (POSCAR):
```
CeYFe
1.0
3.703 0.000 0.000
0.000 6.063 0.000
0.000 0.000 12.902
Y Ce Fe
4 4 4
direct
0.250 0.630 0.100
0.250 0.130 0.400
0.750 0.370 0.900
0.750 0.870 0.600
0.250 0.877 0.853
0.250 0.377 0.647
0.750 0.123 0.147
0.750 0.623 0.353
0.750 0.860 0.963
0.750 0.360 0.537
0.250 0.140 0.037
0.250 0.640 0.463
```

Computed properties:
- space-group type = Pnma (62)

three | A plane-wave DFT calculation with PBE was carried out for CeYFe after structural relaxation.

Structure (POSCAR):
```
CeYFe
1.0
3.206 0.000 0.000
0.000 7.692 -0.702
0.000 -4.574 11.838
Y Fe Ce
4 4 4
direct
0.135 0.900 0.077
0.865 0.100 0.923
0.365 0.400 0.577
0.635 0.600 0.423
0.042 0.777 0.671
0.458 0.277 0.171
0.958 0.223 0.329
0.542 0.723 0.829
0.182 0.989 0.351
0.318 0.489 0.851
0.682 0.511 0.149
0.818 0.011 0.649
```

Computed properties:
- space-group type = P2_1/c (14)

four | A plane-wave DFT calculation with PBE was carried out for CeYFe after structural relaxation.

Structure (POSCAR):
```
CeYFe
1.0
-4.430 -2.339 0.224
0.485 -0.539 3.971
-1.826 3.326 -1.378
Y Ce Fe
1 1 1
direct
0.667 0.333 0.667
0.167 0.667 0.333
0.166 0.000 0.000
```

Computed properties:
- space-group type = P-6m2 (187)

It is three that is the least stable of them.

one | A plane-wave DFT calculation with PBE was carried out for Ce5Ga3 after structural relaxation.

Structure (POSCAR):
```
Ce5Ga3
1.0
-2.698 -3.331 7.777
6.935 3.857 -3.983
-5.048 7.298 0.325
Ce Ga
10 6
direct
0.409 0.726 0.136
0.591 0.274 0.864
0.274 0.409 0.683
0.774 0.091 0.864
0.909 0.774 0.683
0.726 0.591 0.317
0.750 0.250 0.500
0.091 0.226 0.317
0.226 0.909 0.136
0.250 0.750 0.500
0.160 0.660 0.820
0.340 0.160 0.500
0.250 0.250 0.000
0.840 0.340 0.180
0.750 0.750 0.000
0.660 0.840 0.500
```

Computed properties:
- space-group type = I4/mcm (140)

two | A plane-wave DFT calculation with PBE was carried out for Ce5Ga3 after structural relaxation.

Structure (POSCAR):
```
Ce5Ga3
1.0
4.446 0.000 0.000
0.000 4.446 0.000
-2.223 -2.223 9.582
Ce Ga
5 3
direct
0.982 0.482 0.964
0.374 0.374 0.748
0.750 0.250 0.500
0.626 0.626 0.252
0.518 0.018 0.036
0.871 0.871 0.742
0.129 0.129 0.258
0.250 0.750 0.500
```

Computed properties:
- space-group type = I-4m2 (119)

It is two that is the least stable of them.